A.
Crystalline Pm4Ho3Th2 at its relaxed geometry. Source: Alexandria, functional PBE.

a b c (Å): 10.0610 10.0610 6.1829
angles (deg): 96.18 96.18 72.03
With the nearest neighbours (Å) after each atom.
Fractional coordinates of all 18 atoms:
Pm  0.0875  0.8119  0.9833  1 Th 3.29, 4 Ho 3.48-3.56, 3 Pm 3.48-3.64
Pm  0.1508  0.4172  0.1531  5 Ho 3.43-3.78, 2 Pm 3.45-3.79, 3 Th 3.53-3.64
Pm  0.1881  0.9125  0.5167  1 Th 3.29, 4 Ho 3.48-3.56, 3 Pm 3.48-3.64
Pm  0.4172  0.1508  0.6531  5 Ho 3.43-3.78, 2 Pm 3.45-3.79, 3 Th 3.53-3.64
Pm  0.5828  0.8492  0.3469  5 Ho 3.43-3.78, 2 Pm 3.45-3.79, 3 Th 3.53-3.64
Pm  0.8119  0.0875  0.4833  1 Th 3.29, 4 Ho 3.48-3.56, 3 Pm 3.48-3.64
Pm  0.8492  0.5828  0.8469  5 Ho 3.43-3.78, 2 Pm 3.45-3.79, 3 Th 3.53-3.64
Pm  0.9125  0.1881  0.0167  1 Th 3.29, 4 Ho 3.48-3.56, 3 Pm 3.48-3.64
Ho  0.0594  0.2790  0.5817  8 Pm 3.43-3.78, 2 Th 3.50-3.59
Ho  0.2790  0.0594  0.0817  8 Pm 3.43-3.78, 2 Th 3.50-3.59
Ho  0.3926  0.6074  0.2500  6 Th 3.40-3.70, 4 Pm 3.48-3.50
Ho  0.6074  0.3926  0.7500  6 Th 3.40-3.70, 4 Pm 3.48-3.50
Ho  0.7210  0.9406  0.9183  8 Pm 3.43-3.78, 2 Th 3.50-3.59
Ho  0.9406  0.7210  0.4183  8 Pm 3.43-3.78, 2 Th 3.50-3.59
Th  0.2525  0.5284  0.6890  4 Pm 3.29-3.64, 4 Ho 3.40-3.59, 1 Th 3.54
Th  0.4716  0.7475  0.8110  4 Pm 3.29-3.64, 4 Ho 3.40-3.59, 1 Th 3.54
Th  0.5284  0.2525  0.1890  4 Pm 3.29-3.64, 4 Ho 3.40-3.59, 1 Th 3.54
Th  0.7475  0.4716  0.3110  4 Pm 3.29-3.64, 4 Ho 3.40-3.59, 1 Th 3.54

V, Å³ per cell: 590.0

***

B.
Crystalline Pm4Ho3Th2 at its relaxed geometry. Source: Alexandria, functional PBE.

a b c (Å): 3.5778 3.5778 26.9112
angles (deg): 90.00 90.00 120.00
With the nearest neighbours (Å) after each atom.
Fractional coordinates of all 9 atoms:
Pm  0.0000  0.0000  0.0000  1 Th 3.44, 3 Ho 3.53, 6 Pm 3.58
Pm  0.0000  0.0000  0.2145  3 Ho 3.57, 9 Pm 3.58-3.69
Pm  0.3333  0.6667  0.3283  3 Ho 3.56, 9 Pm 3.58-3.69
Pm  0.3333  0.6667  0.5453  6 Pm 3.58, 3 Ho 3.60, 3 Th 3.63
Ho  0.0000  0.0000  0.4358  6 Pm 3.56-3.60, 6 Ho 3.58
Ho  0.3333  0.6667  0.1062  6 Pm 3.53-3.57, 6 Ho 3.58
Ho  0.3333  0.6667  0.7646  6 Th 3.55-3.58, 6 Ho 3.58
Th  0.0000  0.0000  0.6560  3 Ho 3.58, 6 Th 3.58, 3 Pm 3.63
Th  0.0000  0.0000  0.8720  1 Pm 3.44, 3 Ho 3.55, 6 Th 3.58

V, Å³ per cell: 298.3

***

What should be chosen as the least stable of them? Choose A.

***

A.
Crystalline Pm2Ho3Th2 at its relaxed geometry. Source: Alexandria, functional PBE.

a b c (Å): 6.2049 6.2049 10.6561
angles (deg): 95.40 95.40 33.62
With the nearest neighbours (Å) after each atom.
Fractional coordinates of all 7 atoms:
Pm  0.2149  0.2149  0.3489  3 Th 3.50-3.57, 5 Ho 3.54-3.62, 4 Pm 3.59-3.71
Pm  0.7851  0.7851  0.6511  3 Th 3.50-3.57, 5 Ho 3.54-3.62, 4 Pm 3.59-3.71
Ho  0.3581  0.3581  0.9335  5 Ho 3.53-3.59, 2 Pm 3.54, 5 Th 3.54-3.67
Ho  0.5000  0.5000  0.5000  4 Th 3.54, 2 Ho 3.59, 6 Pm 3.60-3.62
Ho  0.6419  0.6419  0.0665  5 Ho 3.53-3.59, 2 Pm 3.54, 5 Th 3.54-3.67
Th  0.0663  0.0663  0.7843  3 Pm 3.50-3.57, 7 Ho 3.54-3.67, 2 Th 3.59
Th  0.9337  0.9337  0.2157  3 Pm 3.50-3.57, 7 Ho 3.54-3.67, 2 Th 3.59

V, Å³ per cell: 226.1

***

B.
Crystalline Pm2Ho3Th2 at its relaxed geometry. Source: Alexandria, functional PBE.

a b c (Å): 8.9677 8.9677 8.6191
angles (deg): 118.71 118.71 22.18
With the nearest neighbours (Å) after each atom.
Fractional coordinates of all 7 atoms:
Pm  0.0628  0.0628  0.2162  3 Pm 3.27-3.45, 3 Ho 3.45-3.58
Pm  0.9372  0.9372  0.7838  3 Pm 3.27-3.45, 3 Ho 3.45-3.58
Ho  0.2842  0.2842  0.3674  5 Ho 3.39-3.51, 3 Th 3.45-3.59, 3 Pm 3.45-3.69
Ho  0.5000  0.5000  0.5000  4 Ho 3.39-3.45, 2 Th 3.51, 4 Pm 3.58
Ho  0.7158  0.7158  0.6326  5 Ho 3.39-3.51, 3 Th 3.45-3.59, 3 Pm 3.45-3.69
Th  0.3461  0.3461  0.0447  4 Ho 3.45-3.59, 4 Th 3.45-3.53, 4 Pm 3.76-3.77
Th  0.6539  0.6539  0.9553  4 Ho 3.45-3.59, 4 Th 3.45-3.53, 4 Pm 3.76-3.77

V, Å³ per cell: 228.2

***

What should be chosen as the least stable of them? Choose B.

***

A.
Crystalline Pm3Ho8Th2 at its relaxed geometry. Source: Alexandria, functional PBE.

a b c (Å): 6.1193 7.7802 18.5726
angles (deg): 90.49 99.36 103.05
With the nearest neighbours (Å) after each atom.
Fractional coordinates of all 26 atoms:
Pm  0.0000  0.0000  0.0000  4 Ho 3.31-3.37, 2 Th 3.68
Pm  0.0564  0.3156  0.7245  9 Ho 3.35-3.73, 2 Th 3.55-3.70, 1 Pm 3.57
Pm  0.2207  0.7618  0.7957  8 Ho 3.40-3.63, 2 Th 3.50-3.59, 1 Pm 3.57
Pm  0.5000  0.0000  0.5000  10 Ho 3.48-3.58, 2 Th 3.51
Pm  0.7793  0.2382  0.2043  8 Ho 3.40-3.63, 2 Th 3.50-3.59, 1 Pm 3.57
Pm  0.9436  0.6844  0.2755  9 Ho 3.35-3.73, 2 Th 3.55-3.70, 1 Pm 3.57
Ho  0.0905  0.2192  0.5370  3 Pm 3.48-3.60, 7 Ho 3.50-3.62, 2 Th 3.52-3.54
Ho  0.1808  0.0157  0.1784  4 Pm 3.31-3.63, 4 Ho 3.36-3.64, 2 Th 3.43-3.69
Ho  0.2788  0.6605  0.6125  7 Ho 3.45-3.63, 2 Th 3.47-3.56, 3 Pm 3.55-3.58
Ho  0.3145  0.5554  0.4248  9 Ho 3.45-3.63, 1 Th 3.48, 2 Pm 3.58-3.59
Ho  0.3523  0.4655  0.2394  4 Pm 3.47-3.61, 6 Ho 3.52-3.68, 2 Th 3.55-3.59
Ho  0.4192  0.3567  0.0614  5 Ho 3.31-3.64, 2 Pm 3.37-3.44, 3 Th 3.48-3.53
Ho  0.4365  0.1919  0.8839  6 Ho 3.46-3.78, 2 Th 3.51-3.62, 3 Pm 3.58-3.76
Ho  0.4532  0.0970  0.6849  5 Ho 3.36-3.58, 4 Pm 3.43-3.65, 2 Th 3.51-3.56
Ho  0.5468  0.9030  0.3151  5 Ho 3.36-3.58, 4 Pm 3.43-3.65, 2 Th 3.51-3.56
Ho  0.5635  0.8081  0.1161  6 Ho 3.46-3.78, 2 Th 3.51-3.62, 3 Pm 3.58-3.76
Ho  0.5808  0.6433  0.9386  5 Ho 3.31-3.64, 2 Pm 3.37-3.44, 3 Th 3.48-3.53
Ho  0.6477  0.5345  0.7606  4 Pm 3.47-3.61, 6 Ho 3.52-3.68, 2 Th 3.55-3.59
Ho  0.6855  0.4446  0.5752  9 Ho 3.45-3.63, 1 Th 3.48, 2 Pm 3.58-3.59
Ho  0.7212  0.3395  0.3875  7 Ho 3.45-3.63, 2 Th 3.47-3.56, 3 Pm 3.55-3.58
Ho  0.8192  0.9843  0.8216  4 Pm 3.31-3.63, 4 Ho 3.36-3.64, 2 Th 3.43-3.69
Ho  0.9095  0.7808  0.4630  3 Pm 3.48-3.60, 7 Ho 3.50-3.62, 2 Th 3.52-3.54
Th  0.0085  0.4264  0.9144  1 Th 3.39, 7 Ho 3.48-3.69, 3 Pm 3.59-3.70
Th  0.1340  0.1216  0.3540  9 Ho 3.43-3.59, 3 Pm 3.50-3.55
Th  0.8660  0.8784  0.6460  9 Ho 3.43-3.59, 3 Pm 3.50-3.55
Th  0.9915  0.5736  0.0856  1 Th 3.39, 7 Ho 3.48-3.69, 3 Pm 3.59-3.70

V, Å³ per cell: 849.0

***

B.
Crystalline Pm3Ho8Th2 at its relaxed geometry. Source: Alexandria, functional PBE.

a b c (Å): 7.3877 5.6993 10.9663
angles (deg): 90.00 109.60 90.00
With the nearest neighbours (Å) after each atom.
Fractional coordinates of all 13 atoms:
Pm  0.0000  0.0000  0.0000  4 Ho 3.10
Pm  0.2821  0.5000  0.9996  3 Pm 3.22-3.53, 2 Ho 3.56
Pm  0.7179  0.5000  0.0004  3 Pm 3.22-3.53, 2 Ho 3.56
Ho  0.1393  0.5000  0.2793  2 Pm 3.56, 2 Th 3.59, 7 Ho 3.59-3.96
Ho  0.1733  0.0000  0.7790  1 Pm 3.10, 1 Ho 3.19, 1 Th 3.38
Ho  0.3316  0.5000  0.6621  2 Th 3.36, 6 Ho 3.48-3.74
Ho  0.3941  0.0000  0.2207  1 Pm 3.10, 1 Ho 3.19, 1 Th 3.39
Ho  0.6059  0.0000  0.7793  1 Pm 3.10, 1 Ho 3.19, 1 Th 3.39
Ho  0.6684  0.5000  0.3379  2 Th 3.36, 6 Ho 3.48-3.74
Ho  0.8267  0.0000  0.2210  1 Pm 3.10, 1 Ho 3.19, 1 Th 3.38
Ho  0.8607  0.5000  0.7207  2 Pm 3.56, 2 Th 3.59, 7 Ho 3.59-3.96
Th  0.2450  0.0000  0.4900  8 Ho 3.36-3.59, 2 Th 3.70
Th  0.7550  0.0000  0.5100  8 Ho 3.36-3.59, 2 Th 3.70

V, Å³ per cell: 435.0

***

What should be chosen as the least stable of them? Choose B.

***

A.
Crystalline Pm2HoTh2 at its relaxed geometry. Source: Alexandria, functional PBE.

a b c (Å): 13.0075 13.0075 13.0075
angles (deg): 164.11 164.11 22.55
With the nearest neighbours (Å) after each atom.
Fractional coordinates of all 5 atoms:
Pm  0.1019  0.1019  0.0000  4 Pm 3.60, 4 Th 3.61, 4 Ho 3.64
Pm  0.8981  0.8981  0.0000  4 Pm 3.60, 4 Th 3.61, 4 Ho 3.64
Ho  0.5000  0.5000  0.0000  4 Ho 3.60, 8 Pm 3.64
Th  0.2977  0.2977  0.0000  8 Th 3.52-3.60, 4 Pm 3.61
Th  0.7023  0.7023  0.0000  8 Th 3.52-3.60, 4 Pm 3.61

V, Å³ per cell: 165.0

***

B.
Crystalline Pm2HoTh2 at its relaxed geometry. Source: Alexandria, functional PBE.

a b c (Å): 14.3842 11.7463 8.6612
angles (deg): 88.29 54.71 37.00
With the nearest neighbours (Å) after each atom.
Fractional coordinates of all 10 atoms:
Pm  0.0462  0.7038  0.0462  4 Pm 3.19-3.49, 2 Th 3.28, 2 Ho 3.39
Pm  0.2962  0.9538  0.2962  4 Pm 3.19-3.49, 2 Th 3.28, 2 Ho 3.39
Pm  0.7038  0.0462  0.7038  4 Pm 3.19-3.49, 2 Th 3.28, 2 Ho 3.39
Pm  0.9538  0.2962  0.9538  4 Pm 3.19-3.49, 2 Th 3.28, 2 Ho 3.39
Ho  0.3750  0.3750  0.3750  4 Pm 3.39, 2 Ho 3.49, 4 Th 3.62
Ho  0.6250  0.6250  0.6250  4 Pm 3.39, 2 Ho 3.49, 4 Th 3.62
Th  0.0000  0.5000  0.5000  2 Pm 3.28, 2 Th 3.49, 2 Ho 3.62
Th  0.5000  0.0000  0.5000  2 Pm 3.28, 2 Th 3.49, 2 Ho 3.62
Th  0.5000  0.5000  0.0000  2 Pm 3.28, 2 Th 3.49, 2 Ho 3.62
Th  0.5000  0.5000  0.5000  2 Pm 3.28, 2 Th 3.49, 2 Ho 3.62

V, Å³ per cell: 343.8

***

What should be chosen as the least stable of them? Choose B.

***

A.
Crystalline PmHo3Th2 at its relaxed geometry. Source: Alexandria, functional PBE.

a b c (Å): 9.4422 9.4422 11.5582
angles (deg): 90.00 90.00 158.01
With the nearest neighbours (Å) after each atom.
Fractional coordinates of all 12 atoms:
Pm  0.2205  0.7795  0.7500  8 Ho 3.56-3.66, 2 Th 3.57, 2 Pm 3.60
Pm  0.7795  0.2205  0.2500  8 Ho 3.56-3.66, 2 Th 3.57, 2 Pm 3.60
Ho  0.1076  0.8924  0.2500  4 Th 3.50-3.51, 6 Ho 3.53-3.60, 2 Pm 3.66
Ho  0.3359  0.6641  0.5037  6 Ho 3.53-3.66, 3 Th 3.54-3.57, 3 Pm 3.56-3.60
Ho  0.3359  0.6641  0.9963  6 Ho 3.53-3.66, 3 Th 3.54-3.57, 3 Pm 3.56-3.60
Ho  0.6641  0.3359  0.0037  6 Ho 3.53-3.66, 3 Th 3.54-3.57, 3 Pm 3.56-3.60
Ho  0.6641  0.3359  0.4963  6 Ho 3.53-3.66, 3 Th 3.54-3.57, 3 Pm 3.56-3.60
Ho  0.8924  0.1076  0.7500  4 Th 3.50-3.51, 6 Ho 3.53-3.60, 2 Pm 3.66
Th  0.0000  0.0000  0.0000  6 Ho 3.51-3.54, 6 Th 3.55-3.60
Th  0.0000  0.0000  0.5000  6 Ho 3.51-3.54, 6 Th 3.55-3.60
Th  0.4457  0.5543  0.2500  4 Ho 3.50-3.57, 6 Th 3.55-3.60, 2 Pm 3.57
Th  0.5543  0.4457  0.7500  4 Ho 3.50-3.57, 6 Th 3.55-3.60, 2 Pm 3.57

V, Å³ per cell: 385.9

***

B.
Crystalline PmHo3Th2 at its relaxed geometry. Source: Alexandria, functional PBE.

a b c (Å): 6.6806 6.6806 11.3590
angles (deg): 90.00 90.00 117.46
With the nearest neighbours (Å) after each atom.
Fractional coordinates of all 12 atoms:
Pm  0.0081  0.9919  0.7500  6 Ho 3.32-3.47, 4 Th 3.35
Pm  0.9919  0.0081  0.2500  6 Ho 3.32-3.47, 4 Th 3.35
Ho  0.0042  0.4926  0.7500  2 Pm 3.32-3.36, 4 Ho 3.33-3.49
Ho  0.4926  0.0042  0.2500  2 Pm 3.32-3.36, 4 Ho 3.33-3.49
Ho  0.4960  0.5040  0.2500  4 Th 3.30, 4 Ho 3.33-3.35, 2 Pm 3.47
Ho  0.5040  0.4960  0.7500  4 Th 3.30, 4 Ho 3.33-3.35, 2 Pm 3.47
Ho  0.5074  0.9958  0.7500  2 Pm 3.32-3.36, 4 Ho 3.33-3.49
Ho  0.9958  0.5074  0.2500  2 Pm 3.32-3.36, 4 Ho 3.33-3.49
Th  0.2570  0.2570  0.0000  2 Ho 3.30, 2 Pm 3.35, 2 Th 3.37-3.57
Th  0.2570  0.2570  0.5000  2 Ho 3.30, 2 Pm 3.35, 2 Th 3.37-3.57
Th  0.7430  0.7430  0.0000  2 Ho 3.30, 2 Pm 3.35, 2 Th 3.37-3.57
Th  0.7430  0.7430  0.5000  2 Ho 3.30, 2 Pm 3.35, 2 Th 3.37-3.57

V, Å³ per cell: 449.9

***

What should be chosen as the least stable of them? Choose B.